PBE NaEuSb2, optimized geometry; SG = No. 123; ΔE_f (raw) = -0.634 eV/atom; crystal system = tetragonal
1.0
4.5414 0.0000 0.0000
0.0000 4.9731 0.0000
0.0000 0.0000 4.9731
Sb Na Eu
2 1 1
Cartesian
0.0000 0.0000 2.4865
0.0000 2.4865 0.0000
2.2707 0.0000 0.0000
2.2707 2.4865 2.4865